No. 1
5
Lattice="4.6889 0.0000 0.0000 0.0000 4.6889 0.0000 0.0000 0.0000 4.6889" Properties=species:S:1:pos:R:3 comment="ReSnS3 (PBE-GGA, optimized geometry)" space_group="No. 221" e_form_raw_ev_per_atom=0.148 pbc="T T T"
Re 0.0000 0.0000 0.0000
S 0.0000 2.3445 0.0000
S 0.0000 0.0000 2.3445
S 2.3445 0.0000 0.0000
Sn 2.3445 2.3445 2.3445


No. 2
4
Lattice="2.6999 -0.0233 0.0000 -1.2200 2.4086 0.0000 0.0000 0.0000 8.3992" Properties=species:S:1:pos:R:3 comment="Ni2AsOs (PBE-GGA, optimized geometry)" space_group="No. 35" e_form_mev_per_atom=473.9 pbc="T T T"
As 0.7399 1.1926 6.4233
Ni 0.0000 0.0000 0.0288
Ni 0.7399 1.1926 2.0370
Os 0.0000 0.0000 4.1096


No. 3
12
Lattice="4.9491 -0.0294 1.6496 0.0398 7.3822 0.0133 -0.0024 -0.0147 8.2585" Properties=species:S:1:pos:R:3 comment="Sm6Ag5Pd (PBE-GGA, optimized geometry)" space_group="No. 65" e_form_mev_per_atom=-361.2 pbc="T T T"
Sm 4.1761 5.5310 4.0699
Sm 4.1557 1.7923 4.0631
Sm 2.4842 1.7706 0.8280
Sm 2.5047 5.5821 0.8348
Sm 0.8309 5.5457 5.8583
Sm 0.8105 1.8070 5.8515
Ag 3.3237 3.6616 6.5939
Ag 1.6152 -0.0147 3.4040
Ag 0.0199 3.6911 0.0066
Ag 3.3315 -0.0294 6.5042
Ag 1.6628 3.6764 3.3275
Pd 0.0000 0.0000 0.0000


No. 4
10
Lattice="7.1367 0.0000 0.0000 0.0000 7.1367 0.0000 0.0000 0.0000 2.8770" Properties=species:S:1:pos:R:3 comment="Ga2TcOs2 (PBE-GGA, optimized geometry)" space_group="No. 127" e_form_mev_per_atom=305.9 pbc="T T T"
Os 1.2283 4.7966 1.4385
Os 4.7966 5.9084 1.4385
Os 5.9084 2.3401 1.4385
Os 2.3401 1.2283 1.4385
Tc 0.0000 0.0000 0.0000
Tc 3.5683 3.5683 0.0000
Ga 2.6502 6.2186 0.0000
Ga 6.2186 4.4865 0.0000
Ga 4.4865 0.9181 0.0000
Ga 0.9181 2.6502 0.0000


No. 5
6
Lattice="-0.9939 -0.9484 3.2986 -0.7058 -3.3043 -1.1627 13.3289 -3.8689 2.9039" Properties=species:S:1:pos:R:3 comment="Dy2Y3Cd (PBE-GGA, optimized geometry)" space_group="No. 123" e_form_mev_per_atom=-96.3 pbc="T T T"
Dy 10.1227 -5.3113 3.4585
Dy 1.5064 -2.8103 1.5813
Y 0.0000 0.0000 0.0000
Y 8.6130 -2.5001 1.8765
Y 4.7159 -1.3689 1.0274
Cd 5.8146 -4.0608 2.5199


No. 6
4
Lattice="3.0479 0.0000 0.0000 1.5240 2.6396 0.0000 1.5240 0.8799 9.0863" Properties=species:S:1:pos:R:3 comment="Pa2MnFe (PBE-GGA, optimized geometry)" space_group="No. 166" e_form_mev_per_atom=445.2 pbc="T T T"
Pa 1.5240 0.8799 6.7044
Pa 4.5719 2.6396 2.3820
Fe 0.0000 0.0000 0.0000
Mn 3.0479 1.7597 4.5432


No. 7
4
Lattice="2.8709 0.0024 0.0000 -1.0103 2.6873 0.0000 0.0000 0.0000 9.5829" Properties=species:S:1:pos:R:3 comment="KRu2W (PBE-GGA, optimized geometry)" space_group="No. 65" e_form_mev_per_atom=688.3 pbc="T T T"
K 0.9303 1.3448 7.1872
Ru 0.0000 0.0000 0.4646
Ru 0.0000 0.0000 4.3268
W 0.9303 1.3448 2.3957


No. 8
5
Lattice="3.7005 0.0000 0.0000 0.0000 3.7005 0.0000 1.8502 1.8502 7.8872" Properties=species:S:1:pos:R:3 comment="K2Mn2Tc (PBE-GGA, optimized geometry)" space_group="No. 139" e_form_mev_per_atom=1545.2 pbc="T T T"
K 3.7005 1.8502 3.9436
K 1.8502 3.7005 3.9436
Mn 1.8502 1.8502 1.1778
Mn 3.7005 3.7005 6.7094
Tc 0.0000 0.0000 0.0000